Record 1
This record from the Alexandria database describes crystalline YAgI2O at its relaxed geometry. The functional is GGA-PBE.

Cell: 6.1978 6.1978 4.1731 Å, 90.00 90.00 90.00°
Closest atoms and distances in Å follow each position.
Element x y z (fractional)
Y  0.0000  0.0000  0.0000  2 O 2.09
Ag  0.5000  0.5000  0.5000  8 I 3.74, 2 Ag 4.17
I  0.0000  0.5000  0.0000  2 Y 3.10
I  0.5000  0.0000  0.0000  2 Y 3.10
O  0.0000  0.0000  0.5000  2 Y 2.09

Values from the calculation:
Space group ... P4/mmm, No. 123

Record 2
This record from the Alexandria database describes crystalline TaRh2Br at its relaxed geometry. The functional is GGA-PBE.

Cell: 5.3259 5.3259 5.3259 Å, 147.02 127.01 63.85°
Closest atoms and distances in Å follow each position.
Element x y z (fractional)
Ta  0.0000  0.0000  0.0000  4 Rh 2.74, 4 Br 2.82, 2 Ta 3.02
Rh  0.2529  0.7529  0.5000  2 Br 2.70, 2 Ta 2.74, 4 Rh 2.82
Rh  0.7471  0.2471  0.5000  2 Br 2.70, 2 Ta 2.74, 4 Rh 2.82
Br  0.5000  0.5000  0.0000  4 Rh 2.70, 4 Ta 2.82

Values from the calculation:
Space group ... Immm, No. 71

| no. | final energy (eV per atom) |
| --- | --- |
| 1 | -4.58 |
| 2 | -6.82 |